# 1
Material: Pr6P3Se2Br
Method: DFT, PBE
State: optimized geometry

Cell: 9.5865 9.5865 8.6201 Å, 104.90 104.90 25.32°
Positions (direct):
1 Pr 0.0050 0.0050 0.2240
2 Pr 0.3232 0.3232 0.4259
3 Pr 0.3369 0.3369 0.9055
4 Pr 0.6631 0.6631 0.0945
5 Pr 0.6768 0.6768 0.5741
6 Pr 0.9950 0.9950 0.7760
7 P 0.1651 0.1651 0.3331
8 P 0.5000 0.5000 0.0000
9 P 0.8349 0.8349 0.6669
10 Se 0.1647 0.1647 0.8290
11 Se 0.8353 0.8353 0.1710
12 Br 0.5000 0.5000 0.5000

E_tot in eV per atom: -6.15



# 2
Material: Pr6Si2PBr3
Method: DFT, PBE
State: optimized geometry

Cell: 9.8776 9.8776 8.9062 Å, 106.47 106.47 24.92°
Positions (direct):
1 Pr 0.0086 0.0086 0.2215
2 Pr 0.3247 0.3247 0.4391
3 Pr 0.3443 0.3443 0.8975
4 Pr 0.6557 0.6557 0.1025
5 Pr 0.6753 0.6753 0.5609
6 Pr 0.9914 0.9914 0.7785
7 Si 0.1661 0.1661 0.3312
8 Si 0.8339 0.8339 0.6688
9 P 0.5000 0.5000 0.0000
10 Br 0.1676 0.1676 0.8334
11 Br 0.5000 0.5000 0.5000
12 Br 0.8324 0.8324 0.1666

E_tot in eV per atom: -5.39



# 3
Material: PrSmPBr
Method: DFT, PBE
State: optimized geometry

Cell: 7.8338 7.8338 7.8338 Å, 30.34 30.34 30.34°
Positions (direct):
1 Pr 0.0000 0.0000 0.0000
2 Sm 0.8023 0.8023 0.8023
3 P 0.4049 0.4049 0.4049
4 Br 0.2315 0.2315 0.2315

E_tot in eV per atom: -5.64



# 4
Material: Pr6Te3P2Br
Method: DFT, PBE
State: optimized geometry

Cell: 9.8525 9.8525 8.9309 Å, 103.45 103.45 25.32°
Positions (direct):
1 Pr 0.0175 0.0175 0.2599
2 Pr 0.3247 0.3247 0.4361
3 Pr 0.3270 0.3270 0.8775
4 Pr 0.6730 0.6730 0.1225
5 Pr 0.6753 0.6753 0.5639
6 Pr 0.9825 0.9825 0.7401
7 Te 0.1592 0.1592 0.8359
8 Te 0.5000 0.5000 0.5000
9 Te 0.8408 0.8408 0.1641
10 P 0.1699 0.1699 0.3376
11 P 0.8301 0.8301 0.6624
12 Br 0.5000 0.5000 0.0000

E_tot in eV per atom: -5.70



# 5
Material: Pr4Te2PBr
Method: DFT, PBE
State: optimized geometry

Cell: 7.6656 4.3055 7.7252 Å, 90.00 108.30 90.00°
Positions (direct):
1 Pr 0.2152 0.0000 0.2171
2 Pr 0.2270 0.5000 0.7719
3 Pr 0.7730 0.5000 0.2281
4 Pr 0.7848 0.0000 0.7829
5 Te 0.5000 0.0000 0.0000
6 Te 0.5000 0.5000 0.5000
7 P 0.0000 0.5000 0.0000
8 Br 0.0000 0.0000 0.5000

E_tot in eV per atom: -5.50



# 6
Material: Pr6TlP2Br3
Method: DFT, PBE
State: optimized geometry

Cell: 9.9208 9.9208 9.0412 Å, 104.97 104.97 24.46°
Positions (direct):
1 Pr 0.0172 0.0172 0.2611
2 Pr 0.3227 0.3227 0.4369
3 Pr 0.3328 0.3328 0.8726
4 Pr 0.6672 0.6672 0.1274
5 Pr 0.6773 0.6773 0.5631
6 Pr 0.9828 0.9828 0.7389
7 Tl 0.5000 0.5000 0.0000
8 P 0.1698 0.1698 0.3429
9 P 0.8302 0.8302 0.6571
10 Br 0.1649 0.1649 0.8347
11 Br 0.5000 0.5000 0.5000
12 Br 0.8351 0.8351 0.1653

E_tot in eV per atom: -5.14



# 7
Material: PrYPBr
Method: DFT, PBE
State: optimized geometry

Cell: 7.7363 7.7363 7.7363 Å, 30.48 30.48 30.48°
Positions (direct):
1 Pr 0.0000 0.0000 0.0000
2 Y 0.8016 0.8016 0.8016
3 P 0.4073 0.4073 0.4073
4 Br 0.2295 0.2295 0.2295

E_tot in eV per atom: -6.06



# 8
Material: PrZnPBr
Method: DFT, PBE
State: optimized geometry

Cell: 14.2509 14.2509 14.2509 Å, 16.79 16.79 16.79°
Positions (direct):
1 Pr 0.0779 0.0779 0.0779
2 Pr 0.9221 0.9221 0.9221
3 Zn 0.3099 0.3099 0.3099
4 Zn 0.6901 0.6901 0.6901
5 P 0.3688 0.3688 0.3688
6 P 0.6312 0.6312 0.6312
7 Br 0.2110 0.2110 0.2110
8 Br 0.7890 0.7890 0.7890

E_tot in eV per atom: -4.35



Which formula does entry 5 have?
Pr4Te2PBr



Copy entry 2 word for word.
Material: Pr6Si2PBr3
Method: DFT, PBE
State: optimized geometry

Cell: 9.8776 9.8776 8.9062 Å, 106.47 106.47 24.92°
Positions (direct):
1 Pr 0.0086 0.0086 0.2215
2 Pr 0.3247 0.3247 0.4391
3 Pr 0.3443 0.3443 0.8975
4 Pr 0.6557 0.6557 0.1025
5 Pr 0.6753 0.6753 0.5609
6 Pr 0.9914 0.9914 0.7785
7 Si 0.1661 0.1661 0.3312
8 Si 0.8339 0.8339 0.6688
9 P 0.5000 0.5000 0.0000
10 Br 0.1676 0.1676 0.8334
11 Br 0.5000 0.5000 0.5000
12 Br 0.8324 0.8324 0.1666

E_tot in eV per atom: -5.39



Which of these has the lowest E_tot?
Pr6P3Se2Br



The lowest E_tot belongs to which entry?
Pr6P3Se2Br